Entry 1:
Material: RbTlMoBr6
Method: DFT, GGA-PBE
State: relaxed

extended XYZ file:
```
18
Lattice="-1.7535 7.3885 -1.7388 -3.2416 -5.8249 -4.0312 -10.3981 -0.3731 8.9004" Properties=species:S:1:pos:R:3 pbc="T T T"
Rb -5.1990 -0.1866 4.4502
Rb 0.0000 0.0000 0.0000
Br -10.8133 -0.1538 5.4392
Br -8.0782 -2.1103 3.9913
Br -13.0167 -1.3500 2.8149
Br -4.2135 4.9087 -1.7313
Br -5.5218 0.8535 1.1313
Br -5.0877 4.3967 1.7870
Br -7.3149 3.3007 -0.8608
Br -2.3764 2.5405 0.3156
Br -10.3054 -3.2063 1.3434
Br -11.1796 -3.7182 4.8618
Br -9.8713 0.3369 1.9991
Br -4.5798 1.3442 -2.3087
Tl -10.0481 2.7042 4.1724
Tl -5.3450 -1.5137 -1.0419
Mo -4.8490 2.8907 -0.2778
Mo -10.5441 -1.7003 3.4083
```

Energy relative to the elements, uncorrected ... -0.871 eV/atom
Calculated volume ... 719.6 Å³/cell
Total magnetization ... 4.0 Bohr magnetons per cell



Entry 2:
Material: Rb2MoWBr6
Method: DFT, GGA-PBE
State: relaxed

extended XYZ file:
```
10
Lattice="-2.8572 4.6966 5.4551 -7.1983 -1.8441 -2.1826 -5.0452 -2.7399 5.2139" Properties=species:S:1:pos:R:3 pbc="T T T"
Mo -5.0277 1.4262 1.6362
Br -3.9150 3.1027 3.5939
Br -10.0640 0.8303 5.0090
Br -7.6051 2.1574 2.4750
Br -2.4503 0.6951 0.7974
Br -5.0367 -0.7177 3.4774
Br -6.1404 -0.2502 -0.3214
Rb -6.4651 1.6915 6.1526
Rb -8.6356 -1.5789 2.3338
W 0.0000 0.0000 0.0000
```

Energy relative to the elements, uncorrected ... -0.535 eV/atom
Calculated volume ... 329.4 Å³/cell
Total magnetization ... 8.0 Bohr magnetons per cell



Entry 3:
Material: Rb2MoWBr
Method: DFT, GGA-PBE
State: relaxed

extended XYZ file:
```
5
Lattice="-0.1044 0.9471 6.6107 -4.6859 -1.0378 0.0747 1.4440 -6.4519 0.9471" Properties=species:S:1:pos:R:3 pbc="T T T"
W -2.3429 -0.5189 0.0373
Rb -0.0522 0.4735 3.3054
Rb 0.7220 -3.2260 0.4736
Mo -1.6731 -3.2713 3.8163
Br 0.0000 0.0000 0.0000
```

Energy relative to the elements, uncorrected ... 1.760 eV/atom
Calculated volume ... 214.1 Å³/cell
Total magnetization ... 8.0 Bohr magnetons per cell



Question: What is the formula in the first record?
Answer: RbTlMoBr6



Question: What is the energy relative to the elements, uncorrected in the first record?
Answer: -0.871 eV/atom



Please write out number 3 again, unchanged.
Material: Rb2MoWBr
Method: DFT, GGA-PBE
State: relaxed

extended XYZ file:
```
5
Lattice="-0.1044 0.9471 6.6107 -4.6859 -1.0378 0.0747 1.4440 -6.4519 0.9471" Properties=species:S:1:pos:R:3 pbc="T T T"
W -2.3429 -0.5189 0.0373
Rb -0.0522 0.4735 3.3054
Rb 0.7220 -3.2260 0.4736
Mo -1.6731 -3.2713 3.8163
Br 0.0000 0.0000 0.0000
```

Energy relative to the elements, uncorrected ... 1.760 eV/atom
Calculated volume ... 214.1 Å³/cell
Total magnetization ... 8.0 Bohr magnetons per cell